The following is a DFT calculation (PBE-GGA) of a relaxed Nd2InSi crystal.

The structure in POSCAR format:
```
Nd2InSi
1.0
-2.8738 -0.7709 -2.9553
-1.4213 -5.3637 2.7811
-5.0889 6.9932 3.1245
In Si Nd
2 2 4
direct
0.2500 0.3416 0.2112
0.7500 0.6584 0.7888
0.2500 0.3419 0.7080
0.7500 0.6581 0.2920
0.2500 0.7876 0.5612
0.7500 0.2124 0.4388
0.7500 0.2261 0.9188
0.2500 0.7739 0.0812
```

**Uncorrected formation energy**: -582 meV per atom
**V**: 221.6 Å³/cell
**Final energy**: -5.01 eV/atom
**Magnetic moment**: 0.040 μB per atom
**DOS(E_F)**: 7.746 states/eV/cell
**Crystal system**: monoclinic

=====

The following is a DFT calculation (PBE-GGA) of a relaxed BiPSe2Br crystal.

The structure in POSCAR format:
```
BiPSe2Br
1.0
5.0109 0.0000 0.0000
0.0000 5.0109 0.0000
0.0000 0.0000 4.8809
Se P Bi Br
2 1 1 1
direct
0.5000 0.0000 0.0000
0.0000 0.5000 0.0000
0.0000 0.0000 0.0000
0.5000 0.5000 0.5000
0.0000 0.0000 0.5000
```

**Uncorrected formation energy**: 201 meV per atom
**ΔE to the lowest computed polymorph**: 0 meV/atom
**V**: 122.6 Å³/cell
**Final energy**: -3.39 eV/atom
**Magnetic moment**: 0.000 μB per atom
**DOS(E_F)**: 2.671 states/eV/cell
**Crystal system**: tetragonal

=====

The following is a DFT calculation (PBE-GGA) of a relaxed Tb3Y2Tm4 crystal.

The structure in POSCAR format:
```
Tb3Y2Tm4
1.0
-4.1697 4.3918 0.0501
-10.5838 -2.9522 2.0086
-4.4644 2.7681 9.8577
Tb Tm Y
6 8 4
direct
0.7500 0.4003 0.5997
0.2577 0.2623 0.0692
0.2500 0.5997 0.4003
0.7577 0.0692 0.2623
0.2423 0.9308 0.7377
0.7423 0.7377 0.9308
0.4228 0.9071 0.1851
0.9158 0.8565 0.5740
0.5772 0.0929 0.8149
0.5842 0.4260 0.1435
0.4158 0.5740 0.8565
0.0842 0.1435 0.4260
0.0772 0.8149 0.0929
0.9228 0.1851 0.9071
0.5743 0.7616 0.4824
0.0743 0.4824 0.7616
0.9257 0.5176 0.2384
0.4257 0.2384 0.5176
```

**ΔE to the lowest computed polymorph**: 83 meV/atom
**V**: 561.2 Å³/cell
**Final energy**: -4.86 eV/atom
**Formation energy from the elements**: 105.5 meV per atom
**Magnetic moment**: 0.000 μB per atom
**DOS(E_F)**: 27.724 states/eV/cell
**Crystal system**: monoclinic